VASP calculation (PBE) on a geometry-optimized Cd12Hg5Bi3 structure.

```
Cd12Hg5Bi3
1.0
-4.906 -14.185 0.510
10.867 1.907 10.189
-11.371 9.340 3.000
Bi Hg Cd
12 20 48
Direct
0.750 0.375 0.125
0.875 0.750 0.125
0.375 0.750 0.625
0.250 0.125 0.375
0.875 0.125 0.250
0.375 0.625 0.250
0.625 0.375 0.750
0.125 0.875 0.750
0.750 0.875 0.625
0.625 0.250 0.375
0.125 0.250 0.875
0.250 0.625 0.875
0.125 0.375 0.250
0.000 0.500 0.000
0.000 0.000 0.000
0.375 0.250 0.125
0.500 0.000 0.500
0.500 0.500 0.000
0.125 0.750 0.375
0.750 0.125 0.875
0.750 0.625 0.375
0.375 0.125 0.750
0.625 0.875 0.250
0.500 0.500 0.500
0.500 0.000 0.000
0.000 0.000 0.500
0.250 0.375 0.625
0.250 0.875 0.125
0.000 0.500 0.500
0.875 0.250 0.625
0.625 0.750 0.875
0.875 0.625 0.750
0.725 0.134 0.059
0.334 0.559 0.425
0.941 0.366 0.275
0.559 0.225 0.134
0.591 0.725 0.666
0.941 0.575 0.166
0.334 0.775 0.409
0.075 0.909 0.134
0.575 0.941 0.666
0.725 0.591 0.166
0.775 0.441 0.366
0.834 0.925 0.059
0.134 0.725 0.559
0.366 0.425 0.091
0.091 0.925 0.366
0.409 0.134 0.575
0.091 0.166 0.225
0.441 0.666 0.075
0.834 0.909 0.275
0.134 0.409 0.075
0.366 0.941 0.775
0.575 0.634 0.409
0.925 0.834 0.559
0.775 0.334 0.909
0.425 0.366 0.591
0.075 0.166 0.441
0.225 0.666 0.091
0.166 0.091 0.725
0.634 0.059 0.225
0.866 0.591 0.925
0.559 0.334 0.925
0.591 0.866 0.425
0.909 0.834 0.775
0.909 0.075 0.634
0.866 0.275 0.441
0.166 0.075 0.941
0.634 0.575 0.909
0.425 0.059 0.334
0.275 0.409 0.834
0.225 0.559 0.634
0.925 0.091 0.866
0.666 0.225 0.591
0.441 0.775 0.866
0.059 0.425 0.834
0.409 0.275 0.334
0.059 0.634 0.725
0.666 0.441 0.575
0.275 0.866 0.941
```

Results
- Final energy: -0.078 Ry/atom
- Formation enthalpy at 0 K: 270.4 kJ/mol of formula units
- Fermi-level density of states: 40.0 states/eV/cell
- ρ: 7.59 Mg/m³



VASP calculation (PBE) on a geometry-optimized Cd7Hg12Bi structure.

```
Cd7Hg12Bi
1.0
-9.022 0.043 2.547
5.040 -4.596 6.431
3.098 8.822 -0.678
Cd Hg Bi
7 12 1
Direct
0.500 0.000 0.500
0.500 0.500 0.000
0.000 0.500 0.500
0.000 0.000 0.500
0.500 0.000 0.000
0.500 0.500 0.500
0.000 0.500 0.000
0.277 0.155 0.432
0.277 0.845 0.122
0.723 0.845 0.568
0.723 0.155 0.878
0.432 0.277 0.155
0.878 0.723 0.155
0.568 0.723 0.845
0.122 0.277 0.845
0.845 0.122 0.277
0.155 0.878 0.723
0.155 0.432 0.277
0.845 0.568 0.723
0.000 0.000 0.000
```

Results
- Relative energy among the computed polymorphs: 1.43 eV per formula unit
- Final energy: -0.043 Ry/atom
- Formation enthalpy at 0 K: 210.9 kJ/mol of formula units
- Fermi-level density of states: 8.7 states/eV/cell
- ρ: 8.91 Mg/m³



VASP calculation (PBE) on a geometry-optimized Cd8Hg4Bi structure.

```
Cd8Hg4Bi
1.0
-1.936 -1.508 -2.045
-0.821 -3.360 3.254
-16.621 11.256 7.432
Cd Hg Bi
8 4 1
Direct
0.000 0.000 0.477
0.000 0.500 0.934
0.500 0.500 0.082
0.500 0.000 0.595
0.000 0.500 0.228
0.000 0.000 0.734
0.500 0.000 0.172
0.500 0.500 0.787
0.000 0.000 0.028
0.000 0.500 0.640
0.500 0.500 0.424
0.500 0.000 0.878
0.000 0.000 0.324
```

Results
- Final energy: -0.067 Ry/atom
- Formation enthalpy at 0 K: 51.9 kJ/mol of formula units
- Fermi-level density of states: 4.5 states/eV/cell
- ρ: 9.77 Mg/m³



Number 1: total magnetic moment 0.00 μB per formula unit. Number 2: total magnetic moment 0.00 μB per formula unit. Number 3: total magnetic moment 0.00 μB per formula unit.